A plane-wave DFT calculation with PBE was carried out for a relaxed Pa3P4PdN12 crystal.

Calculated values
Energy relative to the elements, uncorrected (eV/atom): -0.54
Raw total energy (eV per cell): -166.0
D(E_F) (states/eV per atom): 0.32
Space group: R32, No. 155

a b c (Å): 6.9419 6.9419 6.9419
angles (deg): 103.44 103.44 103.44
Closest atoms and distances in Å follow each position.
Sites, in units of the cell vectors:
P1 0.0436 0.5000 0.9564  3 N 1.58-1.60
N1 0.3555 0.6445 0.5000  1 P 1.57
N2 0.5000 0.3555 0.6445  1 P 1.57
P2 0.5000 0.9564 0.0436  3 N 1.58-1.60
N3 0.8972 0.5000 0.1028  1 P 1.60
N4 0.6445 0.5000 0.3555  1 P 1.57
Pa1 0.0000 0.5416 0.4584  6 N 2.20-2.33
Pa2 0.4584 0.0000 0.5416  6 N 2.20-2.33
P3 0.9564 0.0436 0.5000  3 N 1.58-1.60
N5 0.2109 0.3804 0.9824  1 P 1.58
N6 0.6196 0.7891 0.0176  1 P 1.58
N7 0.5000 0.1028 0.8972  1 P 1.60
Pd1 0.0000 0.0000 0.0000  6 N 2.75
N8 0.9824 0.2109 0.3804  1 P 1.58
Pa3 0.5416 0.4584 0.0000  6 N 2.20-2.33
N9 0.0176 0.6196 0.7891  1 P 1.58
N10 0.3804 0.9824 0.2109  1 P 1.58
N11 0.1028 0.8972 0.5000  1 P 1.60
N12 0.7891 0.0176 0.6196  1 P 1.58
P4 0.5000 0.5000 0.5000  3 N 1.57

A plane-wave DFT calculation with PBE was carried out for a relaxed Pa2P2PdN2 crystal.

Calculated values
Energy relative to the elements, uncorrected (eV/atom): -0.72
Raw total energy (eV per cell): -56.7
D(E_F) (states/eV per atom): 0.64
Space group: P-3m1, No. 164

a b c (Å): 3.8027 3.8027 10.1778
angles (deg): 90.00 90.00 120.00
Closest atoms and distances in Å follow each position.
Sites, in units of the cell vectors:
N1 0.3333 0.6667 0.1567  3 Pa 2.29
N2 0.6667 0.3333 0.8433  3 Pa 2.29
Pd1 0.0000 0.0000 0.0000  6 N 2.71
Pa1 0.6667 0.3333 0.2209  3 N 2.29
P1 0.0000 0.0000 0.3952  1 P 2.13
P2 0.0000 0.0000 0.6048  1 P 2.13
Pa2 0.3333 0.6667 0.7791  3 N 2.29

A plane-wave DFT calculation with PBE was carried out for a relaxed PmPa2PN5 crystal.

Calculated values
Energy relative to the elements, uncorrected (eV/atom): -1.11
Raw total energy (eV per cell): -161.5
D(E_F) (states/eV per atom): 0.34
Space group: P4/mbm, No. 127

a b c (Å): 5.4133 6.6112 6.6112
angles (deg): 90.00 90.00 90.00
Closest atoms and distances in Å follow each position.
Sites, in units of the cell vectors:
P1 0.0000 0.5000 0.0000  4 N 1.82
Pm1 0.0000 0.0000 0.0000  10 N 2.71-2.86
N1 0.2361 0.1382 0.6382  1 P 1.82
N2 0.2361 0.8618 0.3618  1 P 1.82
N3 0.7639 0.8618 0.3618  1 P 1.82
N4 0.7639 0.6382 0.8618  1 P 1.82
N5 0.2361 0.6382 0.8618  1 P 1.82
N6 0.7639 0.3618 0.1382  1 P 1.82
Pa1 0.5000 0.1760 0.3240  4 N 2.25-2.44
N7 0.5000 0.5000 0.5000  4 Pa 2.44, 2 Pm 2.71
Pa2 0.5000 0.3240 0.8240  4 N 2.25-2.44
N8 0.2361 0.3618 0.1382  1 P 1.82
Pa3 0.5000 0.8240 0.6760  4 N 2.25-2.44
P2 0.0000 0.0000 0.5000  4 N 1.82
N9 0.5000 0.0000 0.0000  4 Pa 2.44, 2 Pm 2.71
Pa4 0.5000 0.6760 0.1760  4 N 2.25-2.44
N10 0.7639 0.1382 0.6382  1 P 1.82
Pm2 0.0000 0.5000 0.5000  10 N 2.71-2.86